(1)
The following is a DFT calculation (PBE) of Ti3HgC after structural relaxation.

Cell: 5.984 5.984 5.331 Å, 90.00 90.00 120.33°
Fractional coordinates of all 10 atoms:
Ti 0.000 0.000 0.500
Ti 0.000 0.000 0.000
Ti 0.531 0.962 0.250
Ti 0.469 0.038 0.750
Ti 0.962 0.531 0.750
Ti 0.038 0.469 0.250
Hg 0.449 0.551 0.750
Hg 0.551 0.449 0.250
C 0.843 0.157 0.750
C 0.157 0.843 0.250

=====

(2)
The following is a DFT calculation (PBE) of Ti3HgC after structural relaxation.

Cell: 7.073 7.472 3.058 Å, 90.00 102.47 84.61°
Fractional coordinates of all 10 atoms:
Hg 0.985 0.208 0.383
Hg 0.571 0.374 0.677
C 0.990 0.722 0.887
C 0.442 0.923 0.613
Ti 0.146 0.836 0.465
Ti 0.492 0.733 0.138
Ti 0.855 0.595 0.319
Ti 0.366 0.102 0.075
Ti 0.760 0.935 0.772
Ti 0.193 0.493 0.988

=====

(3)
The following is a DFT calculation (PBE) of Ti4Hg2C after structural relaxation.

Cell: 3.155 7.462 10.274 Å, 90.00 90.00 90.00°
Fractional coordinates of all 14 atoms:
Ti 0.000 0.134 0.675
Ti 0.500 0.835 0.566
Ti 0.500 0.165 0.434
Ti 0.000 0.866 0.325
Ti 0.500 0.665 0.066
Ti 0.000 0.366 0.175
Ti 0.000 0.634 0.825
Ti 0.500 0.335 0.934
C 0.000 0.500 0.000
C 0.000 0.000 0.500
Hg 0.500 0.449 0.638
Hg 0.500 0.949 0.862
Hg 0.500 0.051 0.138
Hg 0.500 0.551 0.362

=====

(4)
The following is a DFT calculation (PBE) of Ti3HgC after structural relaxation.

Cell: 5.202 5.976 5.202 Å, 89.97 73.25 90.03°
Fractional coordinates of all 10 atoms:
Ti 0.886 0.079 0.557
Ti 0.386 0.603 0.057
Ti 0.886 0.603 0.557
Ti 0.386 0.841 0.557
Ti 0.386 0.079 0.057
Ti 0.886 0.841 0.057
Hg 0.386 0.341 0.557
Hg 0.886 0.341 0.057
C 0.636 0.841 0.807
C 0.136 0.841 0.307

=====

(5)
The following is a DFT calculation (PBE) of Ti2HgC after structural relaxation.

Cell: 6.275 6.275 5.571 Å, 55.72 55.72 90.00°
Fractional coordinates of all 8 atoms:
Ti 0.875 0.779 0.750
Ti 0.529 0.125 0.250
Ti 0.221 0.625 0.250
Ti 0.375 0.471 0.750
Hg 0.000 0.000 0.000
Hg 0.750 0.250 0.500
C 0.250 0.750 0.500
C 0.500 0.500 0.000

=====

(6)
The following is a DFT calculation (PBE) of Ti3HgC after structural relaxation.

Cell: 21.447 9.723 9.723 Å, 160.72 162.81 17.19°
Fractional coordinates of all 10 atoms:
Ti 0.491 0.324 0.676
Ti 0.780 0.148 0.852
Ti 0.509 0.676 0.324
Ti 0.076 0.225 0.775
Ti 0.220 0.852 0.148
Ti 0.924 0.775 0.225
Hg 0.754 0.807 0.193
Hg 0.246 0.193 0.807
C 0.847 0.971 0.029
C 0.153 0.029 0.971

=====

(7)
The following is a DFT calculation (PBE) of Ti3HgC after structural relaxation.

Cell: 4.472 12.122 6.400 Å, 90.00 90.00 90.00°
Site moments in Bohr magnetons follow the coordinates.
Fractional coordinates of all 20 atoms:
Hg 0.500 0.500 0.000  0.03
Hg 0.500 0.000 0.000  0.03
Hg 0.000 0.500 0.500  0.03
Hg 0.000 0.000 0.500  0.03
Ti 0.000 0.871 0.880  0.66
Ti 0.500 0.129 0.380  0.66
Ti 0.500 0.750 0.094  0.04
Ti 0.000 0.129 0.120  0.67
Ti 0.000 0.750 0.406  0.04
Ti 0.000 0.371 0.120  0.66
Ti 0.500 0.371 0.380  0.67
Ti 0.500 0.629 0.620  0.66
Ti 0.000 0.250 0.594  0.04
Ti 0.500 0.250 0.906  0.04
Ti 0.000 0.629 0.880  0.66
Ti 0.500 0.871 0.620  0.66
C 0.000 0.750 0.095  -0.02
C 0.500 0.250 0.595  -0.02
C 0.000 0.250 0.905  -0.02
C 0.500 0.750 0.405  -0.02

=====

(8)
The following is a DFT calculation (PBE) of Ti3HgC after structural relaxation.

Cell: 7.944 7.944 7.944 Å, 60.00 60.00 60.00°
Fractional coordinates of all 20 atoms:
Hg 0.625 0.125 0.625
Hg 0.625 0.625 0.125
Hg 0.125 0.625 0.625
Hg 0.625 0.625 0.625
C 0.125 0.625 0.125
C 0.125 0.125 0.625
C 0.125 0.125 0.125
C 0.625 0.125 0.125
Ti 0.064 0.064 0.436
Ti 0.814 0.186 0.186
Ti 0.064 0.436 0.064
Ti 0.186 0.814 0.186
Ti 0.814 0.186 0.814
Ti 0.436 0.064 0.064
Ti 0.186 0.814 0.814
Ti 0.064 0.436 0.436
Ti 0.186 0.186 0.814
Ti 0.436 0.064 0.436
Ti 0.436 0.436 0.064
Ti 0.814 0.814 0.186

=====

It is found that the N(E_F) values, taken in the order of the records, are 0.6941 0.8662 0.8339 0.6932 0.7333 0.8509 0.7780 0.5437 states/eV/atom.
It is found that the ΔH_f (0 K) values, taken in the order of the records, are 1.17 -1.81 -1.72 -2.23 0.18 -0.53 -0.34 -0.81 eV per formula unit.